[1]
## BaAcGd2 (PBE)

Data for a relaxed structure of BaAcGd2.

Structure (CIF):
```
data_BaAcGd2
_symmetry_space_group_name_H-M 'P 4/m m m'
_symmetry_Int_Tables_number 123
_symmetry_space_group_name_Hall '-P 4 2'
_cell_length_a 5.4857
_cell_length_b 5.4857
_cell_length_c 5.3645
_cell_angle_alpha 90.00
_cell_angle_beta 90.00
_cell_angle_gamma 90.00
loop_
_atom_site_label
_atom_site_type_symbol
_atom_site_fract_x
_atom_site_fract_y
_atom_site_fract_z
Ba1 Ba 0.0000 0.0000 0.0000
Ac1 Ac 0.5000 0.5000 0.0000
Gd1 Gd 0.0000 0.5000 0.5000
```

Output
N(E_F)   8.720 states/eV/cell
Calculated formation energy   189.1 meV per atom
Energy   -8.359 eV per atom
Distance to the lowest polymorph of the same formula   50 meV per atom
Total moment   15.4 μB per formula unit

[2]
## LaVBr3 (PBE)

Data for a relaxed structure of LaVBr3.

Structure (CIF):
```
data_LaVBr3
_symmetry_space_group_name_H-M 'P m -3 m'
_symmetry_Int_Tables_number 221
_symmetry_space_group_name_Hall '-P 4 2 3'
_cell_length_a 5.1356
_cell_length_b 5.1356
_cell_length_c 5.1356
_cell_angle_alpha 90.00
_cell_angle_beta 90.00
_cell_angle_gamma 90.00
loop_
_atom_site_label
_atom_site_type_symbol
_atom_site_fract_x
_atom_site_fract_y
_atom_site_fract_z
La1 La 0.0000 0.0000 0.0000
V1 V 0.5000 0.5000 0.5000
Br1 Br 0.0000 0.5000 0.5000
```

Output
N(E_F)   6.594 states/eV/cell
Energy   -4.445 eV per atom
Energy relative to the elements, uncorrected   -14.6 kcal/mol of atoms
Total moment   2.6 μB per formula unit

[3]
## CuNi7Pd2 (PBE)

Data for a relaxed structure of CuNi7Pd2.

Structure (CIF):
```
data_CuNi7Pd2
_symmetry_space_group_name_H-M 'P -1'
_symmetry_Int_Tables_number 2
_symmetry_space_group_name_Hall '-P 1'
_cell_length_a 4.4543
_cell_length_b 4.5400
_cell_length_c 6.5175
_cell_angle_alpha 80.36
_cell_angle_beta 73.98
_cell_angle_gamma 84.51
loop_
_atom_site_label
_atom_site_type_symbol
_atom_site_fract_x
_atom_site_fract_y
_atom_site_fract_z
Cu1 Cu 0.0000 0.0000 0.0000
Ni1 Ni 0.0000 0.0000 0.5000
Ni2 Ni 0.2987 0.4682 0.3934
Ni3 Ni 0.4379 0.0686 0.6734
Ni4 Ni 0.4600 0.2516 0.0237
Pd1 Pd 0.1210 0.5621 0.7857
```

Output
N(E_F)   16.552 states/eV/cell
Calculated formation energy   156.8 meV per atom
Energy   -5.338 eV per atom
Total moment   4.9 μB per formula unit

[4]
## Sn2SeCl2 (PBE)

Data for a relaxed structure of Sn2SeCl2.

Structure (CIF):
```
data_Sn2SeCl2
_symmetry_space_group_name_H-M 'P 4/m b m'
_symmetry_Int_Tables_number 127
_symmetry_space_group_name_Hall '-P 4 2ab'
_cell_length_a 7.9520
_cell_length_b 7.9520
_cell_length_c 4.3590
_cell_angle_alpha 90.00
_cell_angle_beta 90.00
_cell_angle_gamma 90.00
loop_
_atom_site_label
_atom_site_type_symbol
_atom_site_fract_x
_atom_site_fract_y
_atom_site_fract_z
Sn1 Sn 0.1895 0.3105 0.0000
Se1 Se 0.0000 0.0000 0.0000
Cl1 Cl 0.1544 0.6544 0.5000
```

Output
N(E_F)   0.898 states/eV/cell
Energy   -3.611 eV per atom
Distance to the lowest polymorph of the same formula   163 meV per atom
Energy relative to the elements, uncorrected   -13.2 kcal/mol of atoms
Total moment   0.0 μB per formula unit

Look up the total moment of the fourth one. 0.0 μB per formula unit

Copy entry 4 word for word.
## Sn2SeCl2 (PBE)

Data for a relaxed structure of Sn2SeCl2.

Structure (CIF):
```
data_Sn2SeCl2
_symmetry_space_group_name_H-M 'P 4/m b m'
_symmetry_Int_Tables_number 127
_symmetry_space_group_name_Hall '-P 4 2ab'
_cell_length_a 7.9520
_cell_length_b 7.9520
_cell_length_c 4.3590
_cell_angle_alpha 90.00
_cell_angle_beta 90.00
_cell_angle_gamma 90.00
loop_
_atom_site_label
_atom_site_type_symbol
_atom_site_fract_x
_atom_site_fract_y
_atom_site_fract_z
Sn1 Sn 0.1895 0.3105 0.0000
Se1 Se 0.0000 0.0000 0.0000
Cl1 Cl 0.1544 0.6544 0.5000
```

Output
N(E_F)   0.898 states/eV/cell
Energy   -3.611 eV per atom
Distance to the lowest polymorph of the same formula   163 meV per atom
Energy relative to the elements, uncorrected   -13.2 kcal/mol of atoms
Total moment   0.0 μB per formula unit

Copy entry 2 word for word.
## LaVBr3 (PBE)

Data for a relaxed structure of LaVBr3.

Structure (CIF):
```
data_LaVBr3
_symmetry_space_group_name_H-M 'P m -3 m'
_symmetry_Int_Tables_number 221
_symmetry_space_group_name_Hall '-P 4 2 3'
_cell_length_a 5.1356
_cell_length_b 5.1356
_cell_length_c 5.1356
_cell_angle_alpha 90.00
_cell_angle_beta 90.00
_cell_angle_gamma 90.00
loop_
_atom_site_label
_atom_site_type_symbol
_atom_site_fract_x
_atom_site_fract_y
_atom_site_fract_z
La1 La 0.0000 0.0000 0.0000
V1 V 0.5000 0.5000 0.5000
Br1 Br 0.0000 0.5000 0.5000
```

Output
N(E_F)   6.594 states/eV/cell
Energy   -4.445 eV per atom
Energy relative to the elements, uncorrected   -14.6 kcal/mol of atoms
Total moment   2.6 μB per formula unit

N(E_F) of number 1 (BaAcGd2)? 8.720 states/eV/cell